A relaxed structure of GeRuRh3. Source: Alexandria, functional PBE-GGA.

energy above the most stable polymorph in this dataset: 0.0 meV per atom
total magnetization: 0.95 μB per atom
DFT total energy: -0.229 hartree per atom
ΔE_f: 0.9564 eV/atom

Cell lengths 4.502, 4.502, 4.502 Å; angles 90.00, 90.00, 90.00 degrees
Atoms (fractional coordinates):
Rh (0.000, 0.500, 0.000)
Rh (0.000, 0.000, 0.500)
Rh (0.500, 0.000, 0.000)
Ru (0.500, 0.500, 0.500)
Ge (0.000, 0.000, 0.000)

A relaxed structure of Mn2SiPb. Source: Alexandria, functional PBE-GGA.

energy above the most stable polymorph in this dataset: 280.6 meV per atom
total magnetization: 0.22 μB per atom
formation energy without anion corrections: 47 kJ/mol of atoms
DFT total energy: -0.234 hartree per atom

Cell lengths 8.580, 8.580, 8.580 Å; angles 21.12, 21.12, 21.12 degrees
Atoms (fractional coordinates):
Mn (0.265, 0.265, 0.265)
Mn (0.000, 0.000, 0.000)
Pb (0.503, 0.503, 0.503)
Si (0.732, 0.732, 0.732)

A relaxed structure of ThAlNiAu. Source: Alexandria, functional PBE-GGA.

total magnetization: 0.00 μB per atom
DFT total energy: -0.202 hartree per atom
ΔE_f: -0.4309 eV/atom

Cell lengths 4.834, 4.834, 4.834 Å; angles 60.00, 60.00, 60.00 degrees
Atoms (fractional coordinates):
Au (0.500, 0.500, 0.500)
Th (0.250, 0.250, 0.250)
Al (0.750, 0.750, 0.750)
Ni (0.000, 0.000, 0.000)

A relaxed structure of CuHgMo2. Source: Alexandria, functional PBE-GGA.

total magnetization: 0.00 μB per atom
DFT total energy: -0.222 hartree per atom
ΔE_f: 0.4610 eV/atom

Cell lengths 5.159, 5.159, 2.746 Å; angles 90.22, 90.22, 118.16 degrees
Atoms (fractional coordinates):
Cu (0.500, 0.000, 0.500)
Hg (0.000, 0.500, 0.500)
Mo (0.000, 0.000, 0.000)
Mo (0.500, 0.500, 0.000)

A relaxed structure of LiPr2Cu2Pd5. Source: Alexandria, functional PBE-GGA.

total magnetization: 0.00 μB per atom
DFT total energy: -0.187 hartree per atom
ΔE_f: -0.5371 eV/atom

Cell lengths 3.966, 9.550, 9.550 Å; angles 90.00, 90.00, 90.00 degrees
Atoms (fractional coordinates):
Pd (0.500, 0.500, 0.000)
Pd (0.500, 0.295, 0.565)
Pd (0.500, 0.935, 0.205)
Pd (0.500, 0.705, 0.435)
Pd (0.500, 0.205, 0.065)
Pd (0.500, 0.565, 0.705)
Pd (0.500, 0.435, 0.295)
Pd (0.500, 0.795, 0.935)
Pd (0.500, 0.065, 0.795)
Pd (0.500, 0.000, 0.500)
Cu (0.000, 0.382, 0.118)
Cu (0.000, 0.618, 0.882)
Cu (0.000, 0.118, 0.618)
Cu (0.000, 0.882, 0.382)
Li (0.000, 0.500, 0.500)
Li (0.000, 0.000, 0.000)
Pr (0.000, 0.679, 0.179)
Pr (0.000, 0.321, 0.821)
Pr (0.000, 0.821, 0.679)
Pr (0.000, 0.179, 0.321)

A relaxed structure of Li5Tl6Sn. Source: Alexandria, functional PBE-GGA.

total magnetization: 0.00 μB per atom
DFT total energy: -0.091 hartree per atom
ΔE_f: -0.1700 eV/atom

Cell lengths 5.101, 7.118, 8.770 Å; angles 113.94, 106.91, 90.00 degrees
Atoms (fractional coordinates):
Li (0.346, 0.846, 0.691)
Li (0.000, 0.500, 0.000)
Li (0.332, 0.332, 0.665)
Li (0.668, 0.668, 0.335)
Li (0.654, 0.154, 0.309)
Tl (0.826, 0.087, 0.653)
Tl (0.826, 0.566, 0.653)
Tl (0.174, 0.434, 0.347)
Tl (0.500, 0.729, 0.000)
Tl (0.174, 0.913, 0.347)
Tl (0.500, 0.271, 0.000)
Sn (0.000, 0.000, 0.000)

A relaxed structure of CsSr3Pd. Source: Alexandria, functional PBE-GGA.

energy above the most stable polymorph in this dataset: 248.5 meV per atom
total magnetization: 0.00 μB per atom
DFT total energy: -0.081 hartree per atom
ΔE_f: 0.0083 eV/atom

Cell lengths 4.476, 8.288, 8.288 Å; angles 116.91, 90.00, 90.00 degrees
Atoms (fractional coordinates):
Sr (0.500, 0.651, 0.862)
Sr (0.500, 0.138, 0.349)
Sr (0.000, 0.172, 0.828)
Pd (0.500, 0.036, 0.964)
Cs (0.000, 0.631, 0.369)

A relaxed structure of Nd4As3. Source: Alexandria, functional PBE-GGA.

energy above the most stable polymorph in this dataset: 20.3 meV per atom
total magnetization: 0.00 μB per atom
DFT total energy: -0.219 hartree per atom
ΔE_f: -1.2496 eV/atom

Cell lengths 4.257, 4.257, 13.691 Å; angles 81.06, 81.06, 60.00 degrees
Atoms (fractional coordinates):
Nd (0.375, 0.375, 0.875)
Nd (0.874, 0.874, 0.378)
Nd (0.625, 0.625, 0.125)
Nd (0.126, 0.126, 0.622)
As (0.246, 0.246, 0.261)
As (0.000, 0.000, 0.000)
As (0.754, 0.754, 0.739)

Look up the total magnetization of the sixth one. 0.00 μB per atom